# 1
An optimized crystal structure of FePAuC2. Source: the Alexandria database, functional GGA-PBE.

Summary:
DOS at the Fermi energy = 0.152 states/eV per atom
Raw total energy = -6.762 eV per atom

a b c (Å): 8.305 2.869 4.967
angles (deg): 90.00 101.49 90.00
Positions (direct):
1 P 0.767 0.000 0.757
2 P 0.767 0.500 0.257
3 C 0.663 0.000 0.056
4 C 0.663 0.500 0.556
5 C 0.483 0.000 0.996
6 C 0.483 0.500 0.496
7 Au 0.077 0.000 0.860
8 Au 0.077 0.500 0.360
9 Fe 0.352 0.000 0.286
10 Fe 0.352 0.500 0.786

=====

# 2
An optimized crystal structure of FePAuC2. Source: the Alexandria database, functional GGA-PBE.

Summary:
DOS at the Fermi energy = 0.392 states/eV per atom
Raw total energy = -6.567 eV per atom

a b c (Å): 3.542 3.631 5.757
angles (deg): 79.32 88.64 74.43
Positions (direct):
1 P 0.419 0.379 0.886
2 C 0.880 0.703 0.219
3 C 0.556 0.989 0.120
4 Au 0.905 0.466 0.606
5 Fe 0.411 0.504 0.249

=====

# 3
An optimized crystal structure of FePAuC2. Source: the Alexandria database, functional GGA-PBE.

Summary:
DOS at the Fermi energy = 0.490 states/eV per atom
Raw total energy = -6.672 eV per atom

a b c (Å): 2.994 2.994 23.238
angles (deg): 90.00 90.00 120.00
Positions (direct):
1 P 0.000 0.000 0.901
2 P 0.333 0.667 0.568
3 P 0.667 0.333 0.234
4 C 0.000 0.000 0.265
5 C 0.333 0.667 0.932
6 C 0.667 0.333 0.599
7 C 0.000 0.000 0.449
8 C 0.333 0.667 0.116
9 C 0.667 0.333 0.783
10 Au 0.000 0.000 0.359
11 Au 0.333 0.667 0.026
12 Au 0.667 0.333 0.692
13 Fe 0.000 0.000 0.806
14 Fe 0.333 0.667 0.473
15 Fe 0.667 0.333 0.139

=====

# 4
An optimized crystal structure of FePAuC2. Source: the Alexandria database, functional GGA-PBE.

Summary:
DOS at the Fermi energy = 0.340 states/eV per atom
Raw total energy = -6.579 eV per atom

a b c (Å): 6.376 2.838 7.442
angles (deg): 90.00 103.89 90.00
Positions (direct):
1 P 0.289 0.000 0.154
2 P 0.289 0.500 0.654
3 C 0.390 0.000 0.558
4 C 0.390 0.500 0.058
5 C 0.466 0.000 0.390
6 C 0.466 0.500 0.890
7 Au 0.899 0.000 0.147
8 Au 0.899 0.500 0.647
9 Fe 0.614 0.000 0.800
10 Fe 0.614 0.500 0.300

=====

# 5
An optimized crystal structure of FePAuC2. Source: the Alexandria database, functional GGA-PBE.

Summary:
DOS at the Fermi energy = 0.609 states/eV per atom
Raw total energy = -6.626 eV per atom

a b c (Å): 6.233 2.796 9.058
angles (deg): 90.00 107.42 90.00
Positions (direct):
1 P 0.402 0.000 0.287
2 P 0.402 0.500 0.787
3 C 0.269 0.000 0.674
4 C 0.269 0.500 0.174
5 C 0.165 0.000 0.512
6 C 0.165 0.500 0.012
7 Au 0.794 0.000 0.394
8 Au 0.794 0.500 0.894
9 Fe 0.155 0.000 0.868
10 Fe 0.155 0.500 0.368

=====

# 6
An optimized crystal structure of FePAuC2. Source: the Alexandria database, functional GGA-PBE.

Summary:
DOS at the Fermi energy = 0.552 states/eV per atom
Raw total energy = -6.575 eV per atom

a b c (Å): 2.808 3.765 5.987
angles (deg): 99.82 103.46 90.12
Positions (direct):
1 P 0.914 0.778 0.897
2 C 0.579 0.302 0.226
3 C 0.506 0.956 0.082
4 Au 0.765 0.188 0.597
5 Fe 0.106 0.655 0.279

=====

# 7
An optimized crystal structure of FePAuC2. Source: the Alexandria database, functional GGA-PBE.

Summary:
DOS at the Fermi energy = 0.265 states/eV per atom
Raw total energy = -6.699 eV per atom

a b c (Å): 2.985 2.985 7.785
angles (deg): 90.00 90.00 120.00
Positions (direct):
1 P 0.333 0.667 0.780
2 C 0.667 0.333 0.687
3 C 0.333 0.667 0.358
4 Au 0.333 0.667 0.087
5 Fe 0.667 0.333 0.431

=====

# 8
An optimized crystal structure of FePAuC2. Source: the Alexandria database, functional GGA-PBE.

Summary:
DOS at the Fermi energy = 0.272 states/eV per atom
Raw total energy = -6.693 eV per atom

a b c (Å): 2.977 2.977 7.778
angles (deg): 90.00 90.00 120.00
Positions (direct):
1 P 0.333 0.667 0.981
2 C 0.667 0.333 0.339
3 C 0.667 0.333 0.888
4 Au 0.667 0.333 0.608
5 Fe 0.333 0.667 0.265